Model one:
Computed, not measured: GaSe2BrN at its PBEsol-relaxed geometry at the SCAN level of DFT.

Properties
N(E_F) (states/eV/atom): 0.797

a b c (Å): 4.9255 4.9255 5.1708
angles (deg): 90.00 90.00 90.00
Space group P4/mmm (No. 123)
Symmetry-distinct sites (fractional):
Ga1 0.0000 0.0000 0.0000 x1
Se1 0.0000 0.5000 0.0000 x2
Br1 0.0000 0.0000 0.5000 x1
N1 0.5000 0.5000 0.5000 x1

***

Model two:
Computed, not measured: GaSe2BrN at its PBEsol-relaxed geometry at the SCAN level of DFT.

Properties
N(E_F) (states/eV/atom): 0.827

a b c (Å): 5.3022 5.3022 3.6711
angles (deg): 90.00 90.00 90.00
Space group P4/mmm (No. 123)
Symmetry-distinct sites (fractional):
Ga1 0.0000 0.0000 0.0000 x1
Se1 0.0000 0.5000 0.5000 x2
Br1 0.5000 0.5000 0.5000 x1
N1 0.5000 0.5000 0.0000 x1

***

Preferred: model one; penalty for the next structure: 306 meV/atom.

***

Model one:
Computed, not measured: LaYSi2 at its PBEsol-relaxed geometry at the SCAN level of DFT.

Properties
N(E_F) (states/eV/atom): 0.539

a b c (Å): 3.7559 4.4745 10.8249
angles (deg): 90.00 90.00 90.00
Space group Imm2 (No. 44)
Symmetry-distinct sites (fractional):
La1 0.0000 0.0000 0.0000 x2
Y1 0.0000 0.5000 0.7653 x2
Si1 0.0000 0.0000 0.5791 x2
Si2 0.0000 0.5000 0.2300 x2

***

Model two:
Computed, not measured: LaYSi2 at its PBEsol-relaxed geometry at the SCAN level of DFT.

Properties
N(E_F) (states/eV/atom): 0.699

a b c (Å): 3.5446 4.8026 5.9084
angles (deg): 90.00 90.00 90.00
Space group Pmmm (No. 47)
Symmetry-distinct sites (fractional):
La1 0.0000 0.0000 0.0000 x1
Y1 0.5000 0.5000 0.5000 x1
Si1 0.0000 0.0000 0.5000 x1
Si2 0.5000 0.5000 0.0000 x1

***

Preferred: model one; penalty for the next structure: 135 meV/atom.

***

Model one:
Computed, not measured: TaCd2Br at its PBEsol-relaxed geometry at the SCAN level of DFT.

Properties
N(E_F) (states/eV/atom): 0.384

a b c (Å): 3.0609 4.7621 13.8366
angles (deg): 90.00 90.00 90.00
Space group Imm2 (No. 44)
Symmetry-distinct sites (fractional):
Ta1 0.0000 0.0000 0.0000 x2
Cd1 0.0000 0.0000 0.5490 x2
Cd2 0.0000 0.5000 0.6756 x2
Br1 0.0000 0.5000 0.3491 x2

***

Model two:
Computed, not measured: TaCd2Br at its PBEsol-relaxed geometry at the SCAN level of DFT.

Properties
N(E_F) (states/eV/atom): 0.465

a b c (Å): 3.8443 4.8866 8.7558
angles (deg): 90.00 90.00 90.00
Space group Cmmm (No. 65)
Symmetry-distinct sites (fractional):
Ta1 0.0000 0.0000 0.0000 x2
Cd1 0.0000 0.5000 0.2423 x4
Br1 0.0000 0.0000 0.5000 x2

***

Preferred: model one; penalty for the next structure: 58 meV/atom.

***

Model one:
Computed, not measured: CuPtAu2 at its PBEsol-relaxed geometry at the SCAN level of DFT.

Properties
N(E_F) (states/eV/atom): 0.373

a b c (Å): 3.9825 3.9825 7.6638
angles (deg): 90.00 90.00 90.00
Space group I4/mmm (No. 139)
Symmetry-distinct sites (fractional):
Cu1 0.0000 0.0000 0.0000 x2
Pt1 0.0000 0.0000 0.5000 x2
Au1 0.0000 0.5000 0.2500 x4

***

Model two:
Computed, not measured: CuPtAu2 at its PBEsol-relaxed geometry at the SCAN level of DFT.

Properties
N(E_F) (states/eV/atom): 0.294

a b c (Å): 5.5704 7.5160 2.9084
angles (deg): 90.00 90.00 90.00
Space group Cmmm (No. 65)
Symmetry-distinct sites (fractional):
Cu1 0.0000 0.0000 0.0000 x2
Pt1 0.0000 0.5000 0.0000 x2
Au1 0.2500 0.2500 0.5000 x4

***

Preferred: model two; penalty for the next structure: 27 meV/atom.